Density functional theory data (PBE-GGA) for a relaxed structure of NbSnTe2I.

abc: 5.7150 5.7150 5.7095
angles: 90.00 90.00 90.00
Last column: nearest neighbours and their distance in Å.
Fractional coordinates of all 5 atoms:
1 Te 0.0000 0.5000 0.0000  2 Sn 2.86
2 Nb 0.5000 0.5000 0.5000  8 Te 4.04, 4 I 4.04
3 Sn 0.0000 0.0000 0.0000  2 I 2.85, 4 Te 2.86
4 I 0.0000 0.0000 0.5000  2 Sn 2.85
5 Te 0.5000 0.0000 0.0000  2 Sn 2.86

## Properties
The calculation puts the uncorrected formation energy at 0.950 eV/atom.

***

Density functional theory data (PBE-GGA) for a relaxed structure of NbSnTeI2.

abc: 5.8595 5.8595 5.8733
angles: 90.00 90.00 90.00
Last column: nearest neighbours and their distance in Å.
Fractional coordinates of all 5 atoms:
1 Nb 0.5000 0.5000 0.5000  4 Te 4.14, 8 I 4.15
2 Sn 0.0000 0.0000 0.0000  4 I 2.93, 2 Te 2.94
3 Te 0.0000 0.0000 0.5000  2 Sn 2.94
4 I 0.0000 0.5000 0.0000  2 Sn 2.93
5 I 0.5000 0.0000 0.0000  2 Sn 2.93

## Properties
The calculation puts the uncorrected formation energy at 0.870 eV/atom.

***

Density functional theory data (PBE-GGA) for a relaxed structure of ZrNb2SnI.

abc: 5.0242 5.2218 5.0242
angles: 90.00 90.00 90.00
Last column: nearest neighbours and their distance in Å.
Fractional coordinates of all 5 atoms:
1 Zr 0.0000 0.5000 0.0000  2 I 2.61
2 Sn 0.5000 0.5000 0.5000  4 Zr 3.55, 8 Nb 3.62
3 I 0.0000 0.0000 0.0000  4 Nb 2.51, 2 Zr 2.61
4 Nb 0.5000 0.0000 0.0000  2 I 2.51
5 Nb 0.0000 0.0000 0.5000  2 I 2.51

## Properties
The calculation puts the uncorrected formation energy at 1.223 eV/atom.

***

Density functional theory data (PBE-GGA) for a relaxed structure of ZrNbSn2I.

abc: 5.4356 5.1851 5.4356
angles: 90.00 90.00 90.00
Last column: nearest neighbours and their distance in Å.
Fractional coordinates of all 5 atoms:
1 Sn 0.0000 0.0000 0.5000  2 Nb 2.72
2 I 0.5000 0.5000 0.5000  8 Sn 3.76, 4 Zr 3.84
3 Sn 0.5000 0.0000 0.0000  2 Nb 2.72
4 Zr 0.0000 0.5000 0.0000  2 Nb 2.59
5 Nb 0.0000 0.0000 0.0000  2 Zr 2.59, 4 Sn 2.72

## Properties
The calculation puts the uncorrected formation energy at 0.400 eV/atom.

***

Density functional theory data (PBE-GGA) for a relaxed structure of Sr2NbI.

abc: 5.9101 5.9101 5.9101
angles: 60.00 60.00 60.00
Last column: nearest neighbours and their distance in Å.
Fractional coordinates of all 4 atoms:
1 Nb 0.0000 0.0000 0.0000  8 Sr 3.62
2 I 0.5000 0.5000 0.5000  8 Sr 3.62
3 Sr 0.2500 0.2500 0.2500  4 I 3.62, 4 Nb 3.62
4 Sr 0.7500 0.7500 0.7500  4 I 3.62, 4 Nb 3.62

## Properties
The calculation puts the uncorrected formation energy at 0.414 eV/atom.

***

Density functional theory data (PBE-GGA) for a relaxed structure of Sr2NbI.

abc: 9.0243 9.0243 7.5859
angles: 53.50 53.50 90.00
Last column: nearest neighbours and their distance in Å.
Fractional coordinates of all 8 atoms:
1 Nb 0.2500 0.7500 0.5000  4 Sr 3.39
2 Sr 0.8750 0.8819 0.7500  2 I 3.31, 2 Nb 3.39
3 I 0.7500 0.2500 0.5000  4 Sr 3.31
4 Sr 0.3750 0.3681 0.7500  2 I 3.31, 2 Nb 3.39
5 Nb 0.5000 0.5000 0.0000  4 Sr 3.39
6 I 0.0000 0.0000 0.0000  4 Sr 3.31
7 Sr 0.6319 0.1250 0.2500  2 I 3.31, 2 Nb 3.39
8 Sr 0.1181 0.6250 0.2500  2 I 3.31, 2 Nb 3.39

## Properties
The calculation puts the uncorrected formation energy at 0.491 eV/atom.

***

Density functional theory data (PBE-GGA) for a relaxed structure of SrNb3I.

abc: 5.0756 5.0756 5.0756
angles: 90.00 90.00 90.00
Last column: nearest neighbours and their distance in Å.
Fractional coordinates of all 5 atoms:
1 I 0.5000 0.5000 0.5000  12 Nb 3.59
2 Nb 0.0000 0.5000 0.0000  2 Sr 2.54
3 Sr 0.0000 0.0000 0.0000  6 Nb 2.54
4 Nb 0.0000 0.0000 0.5000  2 Sr 2.54
5 Nb 0.5000 0.0000 0.0000  2 Sr 2.54

## Properties
The calculation puts the uncorrected formation energy at 2.596 eV/atom.

***

Density functional theory data (PBE-GGA) for a relaxed structure of SrNb2I.

abc: 5.1138 5.1138 5.1138
angles: 60.00 60.00 60.00
Last column: nearest neighbours and their distance in Å.
Fractional coordinates of all 4 atoms:
1 Nb 0.7500 0.7500 0.7500  4 I 3.13, 4 Sr 3.13
2 Nb 0.2500 0.2500 0.2500  4 I 3.13, 4 Sr 3.13
3 I 0.5000 0.5000 0.5000  8 Nb 3.13
4 Sr 0.0000 0.0000 0.0000  8 Nb 3.13

## Properties
The calculation puts the uncorrected formation energy at 1.235 eV/atom.

***

Density functional theory data (PBE-GGA) for a relaxed structure of SrNbI2.

abc: 5.3542 5.3542 5.3542
angles: 60.00 60.00 60.00
Last column: nearest neighbours and their distance in Å.
Fractional coordinates of all 4 atoms:
1 Sr 0.0000 0.0000 0.0000  8 I 3.28
2 I 0.2500 0.2500 0.2500  4 Nb 3.28, 4 Sr 3.28
3 I 0.7500 0.7500 0.7500  4 Nb 3.28, 4 Sr 3.28
4 Nb 0.5000 0.5000 0.5000  8 I 3.28

## Properties
The calculation puts the uncorrected formation energy at 0.044 eV/atom.

***

Density functional theory data (PBE-GGA) for a relaxed structure of SrNb2I.

abc: 4.6572 4.6572 11.0339
angles: 77.82 77.82 90.00
Last column: nearest neighbours and their distance in Å.
Fractional coordinates of all 8 atoms:
1 I 0.7500 0.2500 0.5000  4 Nb 2.92
2 Nb 0.9765 0.6250 0.2500  2 Nb 2.51
3 Sr 0.2500 0.7500 0.5000  4 I 3.29, 4 Nb 3.43
4 Nb 0.8750 0.0235 0.7500  2 Nb 2.51
5 I 0.0000 0.0000 0.0000  4 Nb 2.92
6 Nb 0.7735 0.1250 0.2500  2 Nb 2.51
7 Nb 0.3750 0.2265 0.7500  2 Nb 2.51
8 Sr 0.5000 0.5000 0.0000  4 I 3.29, 4 Nb 3.43

## Properties
The calculation puts the uncorrected formation energy at 0.754 eV/atom.

***

Density functional theory data (PBE-GGA) for a relaxed structure of SrNbI6.

abc: 7.5443 8.9617 7.7071
angles: 107.22 98.65 125.67
Last column: nearest neighbours and their distance in Å.
Fractional coordinates of all 8 atoms:
1 I 0.1737 0.4456 0.3080  1 Nb 2.84
2 I 0.4538 0.7430 0.0000  1 Nb 2.79
3 I 0.8263 0.5544 0.6920  1 Nb 2.84
4 I 0.1343 0.8624 0.3080  1 Nb 2.84
5 Nb 0.0000 0.5000 0.0000  6 I 2.79-2.84
6 Sr 0.0000 0.0000 0.0000  6 I 3.26-3.35
7 I 0.8657 0.1376 0.6920  1 Nb 2.84
8 I 0.5462 0.2570 0.0000  1 Nb 2.79

## Properties
The calculation puts the uncorrected formation energy at -0.832 eV/atom.

***

Density functional theory data (PBE-GGA) for a relaxed structure of SrNb3I.

abc: 5.1629 5.1629 5.1629
angles: 90.00 90.00 90.00
Last column: nearest neighbours and their distance in Å.
Fractional coordinates of all 5 atoms:
1 Nb 0.0000 0.5000 0.0000  2 I 2.58
2 Nb 0.0000 0.0000 0.5000  2 I 2.58
3 Nb 0.5000 0.0000 0.0000  2 I 2.58
4 Sr 0.5000 0.5000 0.5000  12 Nb 3.65
5 I 0.0000 0.0000 0.0000  6 Nb 2.58

## Properties
The calculation puts the uncorrected formation energy at 1.343 eV/atom.

***

Density functional theory data (PBE-GGA) for a relaxed structure of SrNbI2.

abc: 5.7691 5.7691 10.2504
angles: 73.66 73.66 90.00
Last column: nearest neighbours and their distance in Å.
Fractional coordinates of all 8 atoms:
1 I 0.6632 0.1250 0.2500  2 Nb 3.02, 2 Sr 3.22
2 Nb 0.0000 0.0000 0.0000  4 I 3.02
3 Nb 0.7500 0.2500 0.5000  4 I 3.02
4 Sr 0.2500 0.7500 0.5000  4 I 3.22
5 Sr 0.5000 0.5000 0.0000  4 I 3.22
6 I 0.0868 0.6250 0.2500  2 Nb 3.02, 2 Sr 3.22
7 I 0.3750 0.3368 0.7500  2 Nb 3.02, 2 Sr 3.22
8 I 0.8750 0.9132 0.7500  2 Nb 3.02, 2 Sr 3.22

## Properties
The calculation puts the uncorrected formation energy at 0.025 eV/atom.

***

Density functional theory data (PBE-GGA) for a relaxed structure of SrNbTeI2.

abc: 6.0988 6.0988 6.4381
angles: 90.00 90.00 90.00
Last column: nearest neighbours and their distance in Å.
Fractional coordinates of all 5 atoms:
1 I 0.0000 0.5000 0.0000  2 Sr 3.05
2 I 0.5000 0.0000 0.0000  2 Sr 3.05
3 Te 0.0000 0.0000 0.5000  2 Sr 3.22
4 Sr 0.0000 0.0000 0.0000  4 I 3.05, 2 Te 3.22
5 Nb 0.5000 0.5000 0.5000  4 Te 4.31, 8 I 4.43

## Properties
The calculation puts the uncorrected formation energy at 0.378 eV/atom.

***

Density functional theory data (PBE-GGA) for a relaxed structure of SrNbTeI2.

abc: 5.7171 5.7171 5.6426
angles: 90.00 90.00 90.00
Last column: nearest neighbours and their distance in Å.
Fractional coordinates of all 5 atoms:
1 I 0.5000 0.0000 0.0000  2 Nb 2.86
2 Te 0.0000 0.0000 0.5000  2 Nb 2.82
3 I 0.0000 0.5000 0.0000  2 Nb 2.86
4 Nb 0.0000 0.0000 0.0000  2 Te 2.82, 4 I 2.86
5 Sr 0.5000 0.5000 0.5000  8 I 4.02, 4 Te 4.04

## Properties
The calculation puts the uncorrected formation energy at -0.427 eV/atom.

***

Density functional theory data (PBE-GGA) for a relaxed structure of TaNbI3.

abc: 5.5374 5.5374 5.5374
angles: 90.00 90.00 90.00
Last column: nearest neighbours and their distance in Å.
Fractional coordinates of all 5 atoms:
1 I 0.0000 0.0000 0.5000  2 Ta 2.77
2 Nb 0.5000 0.5000 0.5000  12 I 3.92
3 I 0.0000 0.5000 0.0000  2 Ta 2.77
4 Ta 0.0000 0.0000 0.0000  6 I 2.77
5 I 0.5000 0.0000 0.0000  2 Ta 2.77

## Properties
The calculation puts the uncorrected formation energy at 1.157 eV/atom.

***

Density functional theory data (PBE-GGA) for a relaxed structure of TaNb3I.

abc: 4.9302 4.9302 4.9302
angles: 90.00 90.00 90.00
Last column: nearest neighbours and their distance in Å.
Fractional coordinates of all 5 atoms:
1 Nb 0.0000 0.0000 0.5000  2 I 2.47
2 Ta 0.5000 0.5000 0.5000  12 Nb 3.49
3 Nb 0.0000 0.5000 0.0000  2 I 2.47
4 I 0.0000 0.0000 0.0000  6 Nb 2.47
5 Nb 0.5000 0.0000 0.0000  2 I 2.47

## Properties
The calculation puts the uncorrected formation energy at 1.844 eV/atom.

***

Density functional theory data (PBE-GGA) for a relaxed structure of TaNb3I.

abc: 4.9998 4.9998 4.9998
angles: 90.00 90.00 90.00
Last column: nearest neighbours and their distance in Å.
Fractional coordinates of all 5 atoms:
1 Nb 0.5000 0.0000 0.0000  2 Ta 2.50
2 Nb 0.0000 0.5000 0.0000  2 Ta 2.50
3 I 0.5000 0.5000 0.5000  12 Nb 3.54
4 Nb 0.0000 0.0000 0.5000  2 Ta 2.50
5 Ta 0.0000 0.0000 0.0000  6 Nb 2.50

## Properties
The calculation puts the uncorrected formation energy at 1.489 eV/atom.

***

Density functional theory data (PBE-GGA) for a relaxed structure of TaNbTeI2.

abc: 5.4865 5.4865 5.4568
angles: 90.00 90.00 90.00
Last column: nearest neighbours and their distance in Å.
Fractional coordinates of all 5 atoms:
1 Te 0.0000 0.0000 0.5000  2 Ta 2.73
2 I 0.0000 0.5000 0.0000  2 Ta 2.74
3 I 0.5000 0.0000 0.0000  2 Ta 2.74
4 Ta 0.0000 0.0000 0.0000  2 Te 2.73, 4 I 2.74
5 Nb 0.5000 0.5000 0.5000  8 I 3.87, 4 Te 3.88

## Properties
The calculation puts the uncorrected formation energy at 1.047 eV/atom.

***

Density functional theory data (PBE-GGA) for a relaxed structure of Ta2NbTeI7.

abc: 7.6950 7.6950 14.8974
angles: 89.91 89.91 59.99
Last column: nearest neighbours and their distance in Å.
Fractional coordinates of all 22 atoms:
1 I 0.0043 0.5000 0.3533  1 Ta 2.91, 1 Nb 2.94
2 Ta 0.1307 0.7384 0.7505  1 Te 2.74, 5 I 2.76-3.07, 2 Ta 3.02
3 Ta 0.7384 0.1307 0.7505  1 Te 2.74, 5 I 2.76-3.07, 2 Ta 3.02
4 Nb 0.8685 0.2637 0.2505  1 Te 2.74, 5 I 2.76-3.06, 1 Nb 3.04, 1 Ta 3.05
5 Ta 0.8680 0.8680 0.2513  1 Te 2.73, 5 I 2.76-3.05, 2 Nb 3.05
6 I 0.6639 0.1656 0.1260  1 Ta 2.76, 1 Nb 2.77
7 I 0.8327 0.3350 0.6251  2 Ta 2.76
8 I 0.6673 0.6673 0.1528  1 Ta 3.05, 2 Nb 3.06
9 I 0.4996 0.4996 0.3549  2 Nb 2.93
10 I 0.5000 0.0043 0.3533  1 Ta 2.91, 1 Nb 2.94
11 I 0.1673 0.1673 0.1247  2 Nb 2.76
12 I 0.9966 0.5013 0.8521  2 Ta 2.92
13 Te 0.9997 0.9997 0.8924  3 Ta 2.74
14 Ta 0.1307 0.1307 0.7505  1 Te 2.74, 5 I 2.76-3.07, 2 Ta 3.02
15 I 0.8327 0.8327 0.6251  2 Ta 2.76
16 I 0.1656 0.6639 0.1260  1 Ta 2.76, 1 Nb 2.77
17 Nb 0.2637 0.8685 0.2505  1 Te 2.74, 5 I 2.76-3.06, 1 Nb 3.04, 1 Ta 3.05
18 I 0.3334 0.3334 0.6530  3 Ta 3.07
19 I 0.5013 0.9966 0.8521  2 Ta 2.92
20 I 0.5012 0.5012 0.8521  2 Ta 2.92
21 Te 0.9993 0.9993 0.3915  1 Ta 2.73, 2 Nb 2.74
22 I 0.3350 0.8327 0.6251  2 Ta 2.76

## Properties
The calculation puts the uncorrected formation energy at -0.466 eV/atom.

***

Density functional theory data (PBE-GGA) for a relaxed structure of NbTcI2.

abc: 4.8224 4.8224 4.8224
angles: 60.00 60.00 60.00
Last column: nearest neighbours and their distance in Å.
Fractional coordinates of all 4 atoms:
1 Nb 0.0000 0.0000 0.0000  8 I 2.95
2 I 0.7500 0.7500 0.7500  4 Nb 2.95, 4 Tc 2.95
3 I 0.2500 0.2500 0.2500  4 Tc 2.95, 4 Nb 2.95
4 Tc 0.5000 0.5000 0.5000  8 I 2.95

## Properties
The calculation puts the uncorrected formation energy at 0.850 eV/atom.

***

Density functional theory data (PBE-GGA) for a relaxed structure of Nb3TcI.

abc: 4.9043 4.9043 4.9043
angles: 90.00 90.00 90.00
Last column: nearest neighbours and their distance in Å.
Fractional coordinates of all 5 atoms:
1 Nb 0.5000 0.0000 0.0000  2 Tc 2.45
2 Tc 0.0000 0.0000 0.0000  6 Nb 2.45
3 I 0.5000 0.5000 0.5000  12 Nb 3.47
4 Nb 0.0000 0.5000 0.0000  2 Tc 2.45
5 Nb 0.0000 0.0000 0.5000  2 Tc 2.45

## Properties
The calculation puts the uncorrected formation energy at 1.147 eV/atom.

***

Density functional theory data (PBE-GGA) for a relaxed structure of NbTc3I.

abc: 4.7272 4.7272 4.7272
angles: 90.00 90.00 90.00
Last column: nearest neighbours and their distance in Å.
Fractional coordinates of all 5 atoms:
1 I 0.0000 0.0000 0.0000  6 Tc 2.36
2 Tc 0.0000 0.0000 0.5000  2 I 2.36
3 Nb 0.5000 0.5000 0.5000  12 Tc 3.34
4 Tc 0.5000 0.0000 0.0000  2 I 2.36
5 Tc 0.0000 0.5000 0.0000  2 I 2.36

## Properties
The calculation puts the uncorrected formation energy at 2.050 eV/atom.

***

Density functional theory data (PBE-GGA) for a relaxed structure of Nb3TcI.

abc: 4.9531 4.9531 4.9531
angles: 90.00 90.00 90.00
Last column: nearest neighbours and their distance in Å.
Fractional coordinates of all 5 atoms:
1 Tc 0.5000 0.5000 0.5000  12 Nb 3.50
2 Nb 0.0000 0.5000 0.0000  2 I 2.48
3 I 0.0000 0.0000 0.0000  6 Nb 2.48
4 Nb 0.5000 0.0000 0.0000  2 I 2.48
5 Nb 0.0000 0.0000 0.5000  2 I 2.48

## Properties
The calculation puts the uncorrected formation energy at 2.094 eV/atom.

***

Density functional theory data (PBE-GGA) for a relaxed structure of NbTcI2.

abc: 6.1870 6.1870 7.4836
angles: 65.58 65.58 90.00
Last column: nearest neighbours and their distance in Å.
Fractional coordinates of all 8 atoms:
1 I 0.6438 0.1250 0.2500  2 Tc 2.60, 2 Nb 2.73
2 Nb 0.5000 0.5000 0.0000  4 I 2.73
3 I 0.8750 0.8938 0.7500  2 Tc 2.60, 2 Nb 2.73
4 I 0.3750 0.3562 0.7500  2 Tc 2.60, 2 Nb 2.73
5 Nb 0.2500 0.7500 0.5000  4 I 2.73
6 I 0.1062 0.6250 0.2500  2 Tc 2.60, 2 Nb 2.73
7 Tc 0.7500 0.2500 0.5000  4 I 2.60
8 Tc 0.0000 0.0000 0.0000  4 I 2.60

## Properties
The calculation puts the uncorrected formation energy at 1.108 eV/atom.

***

Density functional theory data (PBE-GGA) for a relaxed structure of NbTc3I.

abc: 4.8960 4.8960 4.8960
angles: 90.00 90.00 90.00
Last column: nearest neighbours and their distance in Å.
Fractional coordinates of all 5 atoms:
1 Tc 0.0000 0.0000 0.5000  2 Nb 2.45
2 Tc 0.0000 0.5000 0.0000  2 Nb 2.45
3 Tc 0.5000 0.0000 0.0000  2 Nb 2.45
4 I 0.5000 0.5000 0.5000  12 Tc 3.46
5 Nb 0.0000 0.0000 0.0000  6 Tc 2.45

## Properties
The calculation puts the uncorrected formation energy at 1.892 eV/atom.

***

Density functional theory data (PBE-GGA) for a relaxed structure of NbV2TcI.

abc: 4.5874 5.3130 4.5874
angles: 90.00 90.00 90.00
Last column: nearest neighbours and their distance in Å.
Fractional coordinates of all 5 atoms:
1 V 0.0000 0.0000 0.5000  2 Nb 2.29
2 Nb 0.0000 0.0000 0.0000  4 V 2.29
3 I 0.0000 0.5000 0.0000  2 Nb 2.66
4 Tc 0.5000 0.5000 0.5000  4 I 3.24, 8 V 3.51
5 V 0.5000 0.0000 0.0000  2 Nb 2.29

## Properties
The calculation puts the uncorrected formation energy at 1.948 eV/atom.